Material: TaTl2Mo
Method: DFT, PBE
State: relaxed

Properties
Energy relative to the lowest polymorph listed for this composition = 21 meV/atom
Space group = Pm
Size of the total moment = 0.00 Bohr magnetons per cell
Formation energy = 10.11 kcal/mol of atoms

Structure (POSCAR):
```
TaTl2Mo
1.0
3.3129 0.0000 0.0000
0.0000 3.3122 -0.0097
0.0000 1.6905 8.2759
Tl Mo Ta
2 1 1
direct
0.0000 0.2050 0.9595
0.5000 0.0408 0.2975
0.0000 0.4140 0.5458
0.5000 0.8402 0.6972
```

Material: CaAc2SnHg6
Method: DFT, PBE
State: relaxed

Properties
Space group = Fm-3m
Size of the total moment = 0.00 Bohr magnetons per cell
Formation energy = -0.47 kcal/mol of atoms

Structure (POSCAR):
```
CaAc2SnHg6
1.0
7.8395 -0.0004 0.0000
0.0005 7.8395 0.0000
3.9200 3.9195 5.5434
Hg Ac Ca Sn
6 2 1 1
direct
0.2482 0.7518 0.0000
0.7518 0.7518 0.0000
0.2482 0.2482 0.0000
0.7518 0.7518 0.4965
0.7518 0.2482 0.0000
0.2482 0.2482 0.5035
0.2500 0.7500 0.5000
0.7500 0.2500 0.5000
0.5000 0.5000 0.0000
0.0000 0.0000 0.0000
```

Material: Ca4ScAs
Method: DFT, PBE
State: relaxed

Properties
Space group = F-43m
Size of the total moment = 1.67 Bohr magnetons per cell
Formation energy = 8.86 kcal/mol of atoms

Structure (POSCAR):
```
Ca4ScAs
1.0
0.0000 4.6547 4.6547
4.6547 0.0000 4.6547
4.6547 4.6547 0.0000
Sc Ca As
1 4 1
direct
0.7500 0.7500 0.7500
0.8741 0.3753 0.3753
0.3753 0.8741 0.3753
0.3753 0.3753 0.8741
0.3753 0.3753 0.3753
0.0000 0.0000 0.0000
```

Material: RbRuPtBr6
Method: DFT, PBE
State: relaxed

Properties
E = -3.420 eV per atom
Space group = C2
Size of the total moment = 0.92 Bohr magnetons per cell

Structure (POSCAR):
```
RbRuPtBr6
1.0
-6.5855 0.9030 -0.5332
-3.9787 -3.6767 3.8888
0.3826 5.3680 5.6341
Pt Br Ru Rb
1 6 1 1
direct
0.3345 0.3346 0.5000
0.3678 0.9900 0.6648
0.6552 0.9741 0.3022
0.3616 0.6383 0.3198
0.9899 0.3678 0.3352
0.9742 0.6555 0.6976
0.6384 0.3617 0.6802
0.6678 0.6679 0.5000
0.0103 0.0102 0.0001
```

Material: CaTcF6
Method: DFT, PBE
State: relaxed

Properties
Energy relative to the lowest polymorph listed for this composition = 15 meV/atom
Space group = C2/m
Size of the total moment = 3.00 Bohr magnetons per cell

Structure (POSCAR):
```
CaTcF6
1.0
-2.7333 -2.7021 3.4323
1.2940 -4.9222 -0.8064
3.2007 -1.7146 3.9392
F Ca Tc
6 1 1
direct
0.2879 0.8460 0.7124
0.7121 0.1540 0.2876
0.1540 0.7121 0.2876
0.7448 0.7448 0.0695
0.8460 0.2879 0.7124
0.2552 0.2552 0.9305
0.5000 0.5000 0.5000
0.0000 0.0000 0.0000
```

Material: PuSi2Tc2
Method: DFT, PBE
State: relaxed

Properties
Energy relative to the lowest polymorph listed for this composition = 26 meV/atom
Space group = Imma
Size of the total moment = 9.88 Bohr magnetons per cell

Structure (POSCAR):
```
PuSi2Tc2
1.0
-0.9066 3.9186 0.4068
-2.6275 -0.2850 -3.1105
-5.8395 -4.2669 8.0018
Si Pu Tc
4 2 4
direct
0.2778 0.0278 0.5556
0.6085 0.8585 0.2171
0.7222 0.9722 0.4444
0.3915 0.1415 0.7829
0.8354 0.5854 0.6708
0.1646 0.4146 0.3292
0.4581 0.7081 0.9162
0.5419 0.2919 0.0838
0.0382 0.7882 0.0764
0.9618 0.2118 0.9236
```

Material: NaMgIO2
Method: DFT, PBE
State: relaxed

Properties
Energy relative to the lowest polymorph listed for this composition = 0 meV/atom
Space group = P4/mmm
Size of the total moment = 0.00 Bohr magnetons per cell

Structure (POSCAR):
```
NaMgIO2
1.0
4.0969 0.0000 0.0000
0.0000 4.0969 0.0000
0.0000 0.0000 6.1201
Na Mg O I
1 1 2 1
direct
0.5000 0.5000 0.5000
0.0000 0.0000 0.0000
0.0000 0.5000 0.0000
0.5000 0.0000 0.0000
0.0000 0.0000 0.5000
```

Material: Zn3RhAu2
Method: DFT, PBE
State: relaxed

Properties
Space group = P4/mmm
Size of the total moment = 0.00 Bohr magnetons per cell
Formation energy = -6.64 kcal/mol of atoms

Structure (POSCAR):
```
Zn3RhAu2
1.0
3.0922 0.0000 0.0000
0.0000 3.0922 0.0000
0.0000 0.0000 9.6583
Zn Au Rh
3 2 1
direct
0.0000 0.0000 0.6486
0.0000 0.0000 0.3514
0.0000 0.0000 0.0000
0.5000 0.5000 0.1749
0.5000 0.5000 0.8251
0.5000 0.5000 0.5000
```

Material: CrBiIr2Au
Method: DFT, PBE
State: relaxed

Properties
Space group = P4/mmm
Size of the total moment = 1.27 Bohr magnetons per cell
Formation energy = 21.80 kcal/mol of atoms

Structure (POSCAR):
```
CrBiIr2Au
1.0
4.5465 0.0000 0.0000
0.0000 4.9581 0.0000
0.0000 0.0000 4.5465
Ir Cr Bi Au
2 1 1 1
direct
0.5000 0.0000 0.0000
0.0000 0.0000 0.5000
0.0000 0.0000 0.0000
0.5000 0.5000 0.5000
0.0000 0.5000 0.0000
```

Material: Li15Cd4In
Method: DFT, PBE
State: relaxed

Properties
Space group = P4/mmm
Size of the total moment = 0.05 Bohr magnetons per cell
Formation energy = -3.96 kcal/mol of atoms

Structure (POSCAR):
```
Li15Cd4In
1.0
4.2291 0.0000 0.0000
0.0000 4.2291 0.0000
0.0000 0.0000 20.7445
Li Cd In
15 4 1
direct
0.5000 0.0000 0.8993
0.0000 0.5000 0.6992
0.0000 0.5000 0.8993
0.5000 0.5000 0.2009
0.0000 0.5000 0.5000
0.5000 0.5000 0.7991
0.5000 0.0000 0.6992
0.5000 0.0000 0.1007
0.0000 0.5000 0.1007
0.5000 0.5000 0.0000
0.5000 0.0000 0.3008
0.5000 0.5000 0.4002
0.5000 0.5000 0.5998
0.5000 0.0000 0.5000
0.0000 0.5000 0.3008
0.0000 0.0000 0.7995
0.0000 0.0000 0.2005
0.0000 0.0000 0.4004
0.0000 0.0000 0.5996
0.0000 0.0000 0.0000
```

Material: SrTaBe2
Method: DFT, PBE
State: relaxed

Properties
Energy relative to the lowest polymorph listed for this composition = 175 meV/atom
Space group = C2/m
Size of the total moment = 0.00 Bohr magnetons per cell
Formation energy = 12.44 kcal/mol of atoms

Structure (POSCAR):
```
SrTaBe2
1.0
-1.1750 1.5414 3.6522
-1.2413 -2.5330 3.0229
4.5016 -0.7030 4.0776
Sr Be Ta
1 2 1
direct
0.7500 0.7500 0.7500
0.5597 0.5597 0.3194
0.9403 0.9403 0.1806
0.2500 0.2500 0.2500
```

Material: ScBeOs
Method: DFT, PBE
State: relaxed

Properties
Space group = F-43m
Size of the total moment = 0.00 Bohr magnetons per cell
Formation energy = 21.99 kcal/mol of atoms

Structure (POSCAR):
```
ScBeOs
1.0
4.2423 0.0000 0.0000
2.1211 3.6739 0.0000
2.1211 1.2246 3.4638
Be Os Sc
1 1 1
direct
0.0000 0.0000 0.0000
0.5000 0.5000 0.5000
0.7500 0.7500 0.7500
```